# BaReSb2, optimized geometry, DFT GGA-PBE
# DFT total energy (eV/atom): -5.70
# Energy above the most stable polymorph in this dataset (eV/atom): 0.018
# Space group: No. 160
# Raw formation energy (eV per atom): -0.0430
data_BaReSb2
_space_group_name_H-M_alt 'P 1'
_space_group_IT_number 1
_cell_length_a 4.393
_cell_length_b 4.393
_cell_length_c 7.448
_cell_angle_alpha 72.85
_cell_angle_beta 72.85
_cell_angle_gamma 59.98
loop_
_space_group_symop_operation_xyz
'x,y,z'
loop_
_atom_site_label
_atom_site_type_symbol
_atom_site_fract_x
_atom_site_fract_y
_atom_site_fract_z
_atom_site_occupancy
Sb1 Sb 0.951 0.951 0.148 1
Sb2 Sb 0.721 0.721 0.835 1
Ba1 Ba 0.505 0.505 0.487 1
Re1 Re 0.323 0.323 0.031 1